The following is a GGA-PBE calculation of a relaxed Pm2SeCl crystal, from the Alexandria database.

Cell: 4.2333 4.2333 19.4127 Å, 90.00 90.00 120.00°
Space group R-3m (No. 166, hexagonal axes)
Inequivalent atoms, fractional coordinates:
1 Pm 0.0000 0.0000 0.2471 [6 per cell]
2 Se 0.0000 0.0000 0.5000 [3 per cell]
3 Cl 0.0000 0.0000 0.0000 [3 per cell]

Calculated values
size of the total moment	0.0	Bohr magnetons per cell
total energy	-5.2557	eV per atom
DOS(E_F)	0.55	states/eV per atom
uncorrected formation energy	-1.548	eV per atom